TiAl3Ga: relaxed, PBE.

```
TiAl3Ga
1.0
2.249 -6.447 0.000
2.249 6.447 0.000
0.000 0.000 5.939
Ti Al Ga
2 6 2
Direct
0.001 0.999 0.750
0.999 0.001 0.250
0.182 0.818 0.000
0.182 0.818 0.500
0.371 0.629 0.250
0.629 0.371 0.750
0.818 0.182 0.000
0.818 0.182 0.500
0.383 0.617 0.750
0.617 0.383 0.250
```



MnTcP2Cl: relaxed, PBE.

```
MnTcP2Cl
1.0
4.497 0.000 0.000
0.000 4.497 0.000
0.000 0.000 4.593
Mn Tc P Cl
1 1 2 1
Direct
0.000 0.000 0.000
0.500 0.500 0.500
0.000 0.500 0.000
0.500 0.000 0.000
0.000 0.000 0.500
```

Calculated values
As for the formation energy without anion corrections: 825 meV per atom.



E above lowest polymorph, record by record: 0.051 0.329 eV/atom